1.
The following is a DFT calculation (PBE) of crystalline CrRhSe2 at its relaxed geometry.

CIF file:
```
data_CrRhSe2
_chemical_formula_sum 'Cr1 Rh1 Se2'
_cell_length_a 3.700
_cell_length_b 3.705
_cell_length_c 5.209
_cell_angle_alpha 90.00
_cell_angle_beta 90.48
_cell_angle_gamma 90.00
_symmetry_space_group_name_H-M 'P 1 2/m 1'
_symmetry_Int_Tables_number 10
loop_
_symmetry_equiv_pos_as_xyz
'x,y,z'
'-x,-y,-z'
'-x,y,-z'
'x,-y,z'
loop_
_atom_site_label
_atom_site_fract_x
_atom_site_fract_y
_atom_site_fract_z
Cr1 0.000 0.000 0.000
Rh1 0.500 0.500 0.500
Se1 0.000 0.000 0.500
Se2 0.500 0.500 0.000
```

Values from the calculation:
Uncorrected formation energy in meV per atom: -176
Calculated volume in Å³/f.u.: 71.4
E above lowest polymorph in kcal/mol of atoms: 3.40



2.
The following is a DFT calculation (PBE) of crystalline FeTeS2Cl at its relaxed geometry.

CIF file:
```
data_FeTeS2Cl
_chemical_formula_sum 'Fe1 Te1 S2 Cl1'
_cell_length_a 4.519
_cell_length_b 4.519
_cell_length_c 4.511
_cell_angle_alpha 90.00
_cell_angle_beta 90.00
_cell_angle_gamma 90.00
_symmetry_space_group_name_H-M 'P 4/m m m'
_symmetry_Int_Tables_number 123
_symmetry_space_group_name_Hall '-P 4 2'
loop_
_atom_site_label
_atom_site_fract_x
_atom_site_fract_y
_atom_site_fract_z
Fe1 0.000 0.000 0.000
Te1 0.500 0.500 0.500
S1 0.000 0.500 0.000
Cl1 0.000 0.000 0.500
```

Values from the calculation:
Uncorrected formation energy in meV per atom: 176
Calculated volume in Å³/f.u.: 92.1
E above lowest polymorph in kcal/mol of atoms: 0.00



3.
The following is a DFT calculation (PBE) of crystalline Ga2NiPd5 at its relaxed geometry.

CIF file:
```
data_Ga2NiPd5
_chemical_formula_sum 'Ga4 Ni2 Pd10'
_cell_length_a 5.418
_cell_length_b 10.711
_cell_length_c 4.032
_cell_angle_alpha 90.00
_cell_angle_beta 90.00
_cell_angle_gamma 90.00
_symmetry_space_group_name_H-M 'P b a m'
_symmetry_Int_Tables_number 55
loop_
_symmetry_equiv_pos_as_xyz
'x,y,z'
'-x,-y,-z'
'-x,-y,z'
'x,y,-z'
'x+1/2,-y+1/2,-z'
'-x+1/2,y+1/2,z'
'-x+1/2,y+1/2,-z'
'x+1/2,-y+1/2,z'
loop_
_atom_site_label
_atom_site_fract_x
_atom_site_fract_y
_atom_site_fract_z
Ga1 0.198 0.131 0.000
Ni1 0.000 0.500 0.500
Pd1 0.000 0.000 0.500
Pd2 0.080 0.737 0.500
Pd3 0.202 0.387 0.000
```

Values from the calculation:
Calculated volume in Å³/f.u.: 117.0
E_form in eV per atom: -0.43



| no. | VASP energy (eV for the cell shown) | spin magnetization (μB per formula unit) | D(E_F) (states/eV per atom) |
| --- | --- | --- | --- |
| 1 | -24.65 | 3.44 | 0.706 |
| 2 | -20.83 | 2.20 | 0.843 |
| 3 | -82.41 | 0.94 | 0.779 |